VASP calculation (GGA+U) on an optimized crystal structure of VN3O8.

Structure (POSCAR):
```
VN3O8
1.0
6.760 -0.332 0.000
-1.262 6.649 0.000
-2.749 -3.159 5.317
O N V
8 3 1
Cartesian
-1.916 -2.201 3.839 O
0.213 5.361 0.000 O
2.751 3.161 3.359 O
0.833 0.957 1.478 O
5.280 0.950 0.000 O
3.550 6.330 0.000 O
5.780 4.390 0.000 O
0.002 0.003 1.958 O
2.749 3.159 0.000 N
3.380 -0.166 2.659 N
-0.631 3.325 2.659 N
0.000 0.000 0.000 V
```

Summary:
The energy is -4.976 eV/atom.